Record 1
The following is a DFT calculation (PBE-GGA) of a relaxed Sr3Si2AsPt9 crystal.

Lattice parameters (Å, degrees): 6.5112 6.5112 8.6155 90.00 90.00 120.00
Last column: nearest neighbours and their distance in Å.
Positions (direct):
Sr 0.0000 0.0000 0.0000  12 Pt 2.94-3.26
Sr 0.3333 0.6667 0.6532  9 Pt 3.31-3.53
Sr 0.6667 0.3333 0.3468  9 Pt 3.31-3.53
Si 0.3333 0.6667 0.1816  6 Pt 2.30-2.45
Si 0.6667 0.3333 0.8184  6 Pt 2.30-2.45
As 0.0000 0.0000 0.5000  6 Pt 2.48
Pt 0.0000 0.5000 0.0000  2 Si 2.45
Pt 0.1452 0.2905 0.2837  1 Si 2.30, 1 As 2.48
Pt 0.1452 0.8548 0.2837  1 Si 2.30, 1 As 2.48
Pt 0.2905 0.1452 0.7163  1 Si 2.30, 1 As 2.48
Pt 0.5000 0.0000 0.0000  2 Si 2.45
Pt 0.5000 0.5000 0.0000  2 Si 2.45
Pt 0.7095 0.8548 0.2837  1 Si 2.30, 1 As 2.48
Pt 0.8548 0.1452 0.7163  1 Si 2.30, 1 As 2.48
Pt 0.8548 0.7095 0.7163  1 Si 2.30, 1 As 2.48

Results
Space group: No. 164
M_tot in μB per cell: 0.0
ΔE_f (raw) in eV per atom: -0.6092



Record 2
The following is a DFT calculation (PBE-GGA) of a relaxed SnTe4Pb2Au crystal.

Lattice parameters (Å, degrees): 7.9587 4.3343 7.9807 90.00 111.69 90.00
Last column: nearest neighbours and their distance in Å.
Positions (direct):
Sn 0.0000 0.0000 0.0000  6 Te 3.07-3.28
Te 0.2366 0.5000 0.2498  2 Sn 3.07, 3 Pb 3.16-3.21, 1 Au 3.39
Te 0.2861 0.0000 0.7914  2 Au 2.88
Te 0.7139 0.0000 0.2086  2 Au 2.88
Te 0.7634 0.5000 0.7502  2 Sn 3.07, 3 Pb 3.16-3.21, 1 Au 3.39
Pb 0.0000 0.5000 0.5000  6 Te 3.21-3.37
Pb 0.5000 0.0000 0.5000  6 Te 3.16-3.35
Au 0.5000 0.5000 0.0000  4 Te 2.88

Results
Space group: No. 10
M_tot in μB per cell: 0.0
ΔE_f (raw) in eV per atom: -0.2097



Record 3
The following is a DFT calculation (PBE-GGA) of a relaxed Tb3Pr12Dy crystal.

Lattice parameters (Å, degrees): 5.1991 5.1991 20.7376 90.00 90.00 90.00
Last column: nearest neighbours and their distance in Å.
Positions (direct):
Tb 0.0000 0.0000 0.0000  12 Pr 3.67-3.68
Tb 0.0000 0.0000 0.2503  12 Pr 3.67-3.68
Tb 0.0000 0.0000 0.7497  12 Pr 3.67-3.68
Pr 0.0000 0.5000 0.1251  8 Pr 3.67-3.68, 4 Tb 3.67
Pr 0.0000 0.5000 0.3753  2 Dy 3.67, 8 Pr 3.67-3.68, 2 Tb 3.67
Pr 0.0000 0.5000 0.6247  2 Dy 3.67, 8 Pr 3.67-3.68, 2 Tb 3.67
Pr 0.0000 0.5000 0.8749  8 Pr 3.67-3.68, 4 Tb 3.67
Pr 0.5000 0.0000 0.1251  8 Pr 3.67-3.68, 4 Tb 3.67
Pr 0.5000 0.0000 0.3753  2 Dy 3.67, 8 Pr 3.67-3.68, 2 Tb 3.67
Pr 0.5000 0.0000 0.6247  2 Dy 3.67, 8 Pr 3.67-3.68, 2 Tb 3.67
Pr 0.5000 0.0000 0.8749  8 Pr 3.67-3.68, 4 Tb 3.67
Pr 0.5000 0.5000 0.0000  8 Pr 3.67, 4 Tb 3.68
Pr 0.5000 0.5000 0.2502  8 Pr 3.67, 4 Tb 3.68
Pr 0.5000 0.5000 0.5000  8 Pr 3.67, 4 Dy 3.68
Pr 0.5000 0.5000 0.7498  8 Pr 3.67, 4 Tb 3.68
Dy 0.0000 0.0000 0.5000  12 Pr 3.67-3.68

Results
Space group: No. 123
M_tot in μB per cell: 0.0
Energy of formation from the pure elements in kcal/mol of atoms: 0.3



Record 4
The following is a DFT calculation (PBE-GGA) of a relaxed HoNpIrRu crystal.

Lattice parameters (Å, degrees): 6.7897 6.7897 6.7897 90.00 90.00 90.00
Last column: nearest neighbours and their distance in Å.
Positions (direct):
Ho 0.0000 0.0000 0.0000  4 Ru 2.94, 4 Ir 2.94
Ho 0.0000 0.5000 0.5000  4 Ru 2.94, 4 Ir 2.94
Ho 0.5000 0.0000 0.5000  4 Ru 2.94, 4 Ir 2.94
Ho 0.5000 0.5000 0.0000  4 Ru 2.94, 4 Ir 2.94
Np 0.0000 0.0000 0.5000  4 Ru 2.94, 4 Ir 2.94
Np 0.0000 0.5000 0.0000  4 Ru 2.94, 4 Ir 2.94
Np 0.5000 0.0000 0.0000  4 Ru 2.94, 4 Ir 2.94
Np 0.5000 0.5000 0.5000  4 Ru 2.94, 4 Ir 2.94
Ir 0.2500 0.2500 0.7500  4 Ho 2.94, 4 Np 2.94
Ir 0.2500 0.7500 0.2500  4 Ho 2.94, 4 Np 2.94
Ir 0.7500 0.2500 0.2500  4 Ho 2.94, 4 Np 2.94
Ir 0.7500 0.7500 0.7500  4 Ho 2.94, 4 Np 2.94
Ru 0.2500 0.2500 0.2500  4 Ho 2.94, 4 Np 2.94
Ru 0.2500 0.7500 0.7500  4 Ho 2.94, 4 Np 2.94
Ru 0.7500 0.2500 0.7500  4 Ho 2.94, 4 Np 2.94
Ru 0.7500 0.7500 0.2500  4 Ho 2.94, 4 Np 2.94

Results
Space group: No. 216
M_tot in μB per cell: 12.3
Energy of formation from the pure elements in kcal/mol of atoms: -8.4



Record 5
The following is a DFT calculation (PBE-GGA) of a relaxed CaSb2Cl crystal.

Lattice parameters (Å, degrees): 4.5155 4.5155 5.9169 90.00 90.00 90.00
Last column: nearest neighbours and their distance in Å.
Positions (direct):
Ca 0.0000 0.0000 0.0000  2 Cl 2.96
Sb 0.5000 0.5000 0.2292  1 Sb 2.71
Sb 0.5000 0.5000 0.7708  1 Sb 2.71
Cl 0.0000 0.0000 0.5000  2 Ca 2.96

Results
Space group: No. 123
M_tot in μB per cell: 0.0
ΔE_f (raw) in eV per atom: -0.5813



Record 6
The following is a DFT calculation (PBE-GGA) of a relaxed La4RuO7 crystal.

Lattice parameters (Å, degrees): 7.0666 7.0666 9.5124 130.44 130.44 32.73
Last column: nearest neighbours and their distance in Å.
Positions (direct):
La 0.0852 0.0852 0.3891  5 O 2.36-2.55
La 0.2511 0.2511 0.1627  4 O 2.32-2.55
La 0.7489 0.7489 0.8373  4 O 2.32-2.55
La 0.9148 0.9148 0.6109  5 O 2.36-2.55
Ru 0.5000 0.5000 0.0000  4 O 1.99-2.04
O 0.0000 0.0000 0.0000  2 Ru 1.99
O 0.1264 0.1264 0.6888  4 La 2.35-2.51
O 0.2984 0.2984 0.4476  4 La 2.32-2.55
O 0.4059 0.4059 0.0994  1 Ru 2.04
O 0.5941 0.5941 0.9006  1 Ru 2.04
O 0.7016 0.7016 0.5524  4 La 2.32-2.55
O 0.8736 0.8736 0.3112  4 La 2.35-2.51

Results
Space group: No. 12
M_tot in μB per cell: 0.9
ΔE_f (raw) in eV per atom: -2.9175



Record 7
The following is a DFT calculation (PBE-GGA) of a relaxed RbCdPtBr6 crystal.

Lattice parameters (Å, degrees): 6.9383 6.9383 7.7046 91.52 91.52 116.71
Last column: nearest neighbours and their distance in Å.
Positions (direct):
Rb 0.0000 0.0000 0.0000  6 Br 3.47-3.52
Cd 0.3230 0.6770 0.5000  6 Br 2.72-2.88
Pt 0.6692 0.3308 0.5000  4 Br 2.49-2.51
Br 0.3813 0.3488 0.3105  1 Pt 2.49
Br 0.3887 0.0167 0.7183  1 Cd 2.72, 1 Pt 2.81
Br 0.6485 0.0193 0.3141  1 Pt 2.51
Br 0.6512 0.6187 0.6895  1 Pt 2.49
Br 0.9807 0.3515 0.6859  1 Pt 2.51
Br 0.9833 0.6113 0.2817  1 Cd 2.72, 1 Pt 2.81

Results
Space group: No. 5
M_tot in μB per cell: 1.0
ΔE_f (raw) in eV per atom: -0.7477



Record 8
The following is a DFT calculation (PBE-GGA) of a relaxed CsSrH2 crystal.

Lattice parameters (Å, degrees): 7.3162 7.3162 7.3162 90.00 90.00 90.00
Last column: nearest neighbours and their distance in Å.
Positions (direct):
Cs 0.0000 0.0000 0.0000  8 H 3.17
Cs 0.0000 0.5000 0.5000  8 H 3.17
Cs 0.5000 0.0000 0.5000  8 H 3.17
Cs 0.5000 0.5000 0.0000  8 H 3.17
Sr 0.0000 0.0000 0.5000  8 H 3.17
Sr 0.0000 0.5000 0.0000  8 H 3.17
Sr 0.5000 0.0000 0.0000  8 H 3.17
Sr 0.5000 0.5000 0.5000  8 H 3.17
H 0.2500 0.2500 0.2500  4 Sr 3.17, 4 Cs 3.17
H 0.2500 0.2500 0.7500  4 Sr 3.17, 4 Cs 3.17
H 0.2500 0.7500 0.2500  4 Sr 3.17, 4 Cs 3.17
H 0.2500 0.7500 0.7500  4 Sr 3.17, 4 Cs 3.17
H 0.7500 0.2500 0.2500  4 Sr 3.17, 4 Cs 3.17
H 0.7500 0.2500 0.7500  4 Sr 3.17, 4 Cs 3.17
H 0.7500 0.7500 0.2500  4 Sr 3.17, 4 Cs 3.17
H 0.7500 0.7500 0.7500  4 Sr 3.17, 4 Cs 3.17

Results
Space group: No. 225
Total energy in eV per formula unit: -8.6
M_tot in μB per cell: 0.0